No. 1
# PBE-GGA Dy2YSi2, relaxed
data_Dy2YSi2
_chemical_formula_sum 'Dy4 Y2 Si4'
_space_group_name_H-M_alt 'I m m m'
_space_group_IT_number 71
_space_group_name_Hall '-I 2 2'
_cell_length_a 4.3366
_cell_length_b 6.2574
_cell_length_c 8.7424
_cell_angle_alpha 90.00
_cell_angle_beta 90.00
_cell_angle_gamma 90.00
loop_
_atom_site_label
_atom_site_type_symbol
_atom_site_fract_x
_atom_site_fract_y
_atom_site_fract_z
Dy1 Dy 0.0000 0.0000 0.1996
Y1 Y 0.0000 0.5000 0.0000
Si1 Si 0.0000 0.3032 0.5000
# - E_form (uncorrected): -0.642 eV/atom
# - Fermi-level density of states: 0.7319 states/eV per atom
# - Energy above the most stable polymorph in this dataset: 34 kJ/mol of formula units
# - Total magnetic moment: 0.00 μB/f.u.

No. 2
# PBE-GGA Pr6NpS12, relaxed
data_Pr6NpS12
_chemical_formula_sum 'Pr18 Np3 S36'
_space_group_name_H-M_alt 'R -3'
_space_group_IT_number 148
_space_group_name_Hall '-R 3'
_cell_length_a 12.2708
_cell_length_b 12.2708
_cell_length_c 11.7700
_cell_angle_alpha 90.00
_cell_angle_beta 90.00
_cell_angle_gamma 120.00
loop_
_atom_site_label
_atom_site_type_symbol
_atom_site_fract_x
_atom_site_fract_y
_atom_site_fract_z
Pr1 Pr 0.0469 0.7785 0.1347
Np1 Np 0.0000 0.0000 0.5000
S1 S 0.0334 0.8128 0.8971
S2 S 0.0537 0.8575 0.3832
# - E_form (uncorrected): -1.804 eV/atom
# - Total magnetic moment: 0.93 μB/f.u.

No. 3
# PBE-GGA BaSiSb2, relaxed
data_BaSiSb2
_chemical_formula_sum 'Ba2 Si2 Sb4'
_space_group_name_H-M_alt 'C m m m'
_space_group_IT_number 65
_space_group_name_Hall '-C 2 2'
_cell_length_a 6.8046
_cell_length_b 6.8151
_cell_length_c 4.9636
_cell_angle_alpha 90.00
_cell_angle_beta 90.00
_cell_angle_gamma 90.00
loop_
_atom_site_label
_atom_site_type_symbol
_atom_site_fract_x
_atom_site_fract_y
_atom_site_fract_z
Ba1 Ba 0.0000 0.0000 0.0000
Si1 Si 0.0000 0.5000 0.0000
Sb1 Sb 0.2500 0.2500 0.5000
# - E_form (uncorrected): -0.109 eV/atom
# - Fermi-level density of states: 0.7977 states/eV per atom
# - Total magnetic moment: 0.00 μB/f.u.

No. 4
# PBE-GGA SrTlHg2F8, relaxed
data_SrTlHg2F8
_chemical_formula_sum 'Sr1 Tl1 Hg2 F8'
_space_group_name_H-M_alt 'P 1 2/m 1'
_space_group_IT_number 10
_cell_length_a 4.0565
_cell_length_b 8.1534
_cell_length_c 5.7293
_cell_angle_alpha 90.00
_cell_angle_beta 90.06
_cell_angle_gamma 90.00
loop_
_space_group_symop_operation_xyz
'x,y,z'
'-x,-y,-z'
'-x,y,-z'
'x,-y,z'
loop_
_atom_site_label
_atom_site_type_symbol
_atom_site_fract_x
_atom_site_fract_y
_atom_site_fract_z
Sr1 Sr 0.0000 0.0000 0.0000
Tl1 Tl 0.0000 0.5000 0.0000
Hg1 Hg 0.5000 0.2510 0.5000
F1 F 0.0005 0.2540 0.2543
F2 F 0.5004 0.0000 0.2548
F3 F 0.5005 0.5000 0.2452
# - E_form (uncorrected): -2.137 eV/atom
# - Fermi-level density of states: 0.1120 states/eV per atom
# - Total magnetic moment: 0.00 μB/f.u.